Mg2MnWO6: optimized geometry, PBE+U.

Results
Energy above the lowest structure with this stoichiometry in meV per atom: 94
Size of the total moment in Bohr magnetons per cell: 5.000
Space-group type: C2, No. 5
ρ in kg/m³: 5149

Unit cell a=5.5388 b=5.5388 c=5.2528 alpha=63.12 beta=63.12 gamma=65.49
Last column: magnetic moment on the atom in μB.
Positions (direct):
O (0.8660, 0.2129, 0.7020)  0.01
O (0.7871, 0.1340, 0.2980)  0.01
O (0.8251, 0.7016, 0.0810)  0.01
O (0.2984, 0.1749, 0.9190)  0.01
O (0.3729, 0.8087, 0.6963)  0.01
O (0.1913, 0.6271, 0.3037)  0.01
W (0.0430, 0.9570, 0.0000)  0.10
Mg (0.6678, 0.9055, 0.7396)  0.00
Mg (0.0945, 0.3322, 0.2604)  0.00
Mn (0.4868, 0.5132, 0.5000)  4.61